Record 1
Compound: Na2LiO
Source: Alexandria via LeMat-Bulk
Functional: PBE
Structure: relaxed

Results
Energy relative to the elements, uncorrected in meV/atom: -950

Cell: 3.1743 6.0555 7.5862 Å, 90.00 90.00 105.21°
Last column: nearest neighbours and their distance in Å.
Positions (direct):
Na  0.3537  0.7073  0.5716  3 O 2.48-2.67, 1 Na 2.71, 1 Li 2.74
Na  0.6463  0.2927  0.4284  3 O 2.48-2.67, 1 Na 2.71, 1 Li 2.74
Na  0.3537  0.7073  0.9284  3 O 2.48-2.67, 1 Na 2.71, 1 Li 2.74
Na  0.6463  0.2927  0.0716  3 O 2.48-2.67, 1 Na 2.71, 1 Li 2.74
Li  0.8502  0.6998  0.2500  2 O 1.89
Li  0.1498  0.3002  0.7500  2 O 1.89
O  0.7378  0.4761  0.7500  2 Li 1.89
O  0.2622  0.5239  0.2500  2 Li 1.89

***

Record 2
Compound: Dy15Er4Tl
Source: Alexandria via LeMat-Bulk
Functional: PBE
Structure: relaxed

Results
Energy relative to the elements in eV/atom: -0.018

Cell: 4.9483 4.9483 25.0803 Å, 90.00 90.00 90.00°
Last column: nearest neighbours and their distance in Å.
Positions (direct):
Dy  0.5000  0.5000  0.0000  8 Dy 3.48, 4 Tl 3.50
Dy  0.5000  0.5000  0.1963  8 Dy 3.50-3.57, 4 Er 3.50
Dy  0.5000  0.5000  0.3987  4 Er 3.50, 8 Dy 3.52-3.55
Dy  0.5000  0.5000  0.6013  4 Er 3.50, 8 Dy 3.52-3.55
Dy  0.5000  0.5000  0.8037  8 Dy 3.50-3.57, 4 Er 3.50
Dy  0.5000  0.0000  0.0978  8 Dy 3.48-3.50, 2 Tl 3.48, 2 Er 3.54
Dy  0.5000  0.0000  0.2987  8 Dy 3.50-3.57, 4 Er 3.53
Dy  0.5000  0.0000  0.5000  8 Dy 3.50-3.55, 4 Er 3.53
Dy  0.5000  0.0000  0.7013  8 Dy 3.50-3.57, 4 Er 3.53
Dy  0.5000  0.0000  0.9022  8 Dy 3.48-3.50, 2 Tl 3.48, 2 Er 3.54
Dy  0.0000  0.5000  0.0978  2 Tl 3.48, 8 Dy 3.48-3.50, 2 Er 3.54
Dy  0.0000  0.5000  0.2987  8 Dy 3.50-3.57, 4 Er 3.53
Dy  0.0000  0.5000  0.5000  8 Dy 3.50-3.55, 4 Er 3.53
Dy  0.0000  0.5000  0.7013  8 Dy 3.50-3.57, 4 Er 3.53
Dy  0.0000  0.5000  0.9022  2 Tl 3.48, 8 Dy 3.48-3.50, 2 Er 3.54
Er  0.0000  0.0000  0.1985  12 Dy 3.50-3.54
Er  0.0000  0.0000  0.3993  12 Dy 3.50-3.53
Er  0.0000  0.0000  0.6007  12 Dy 3.50-3.53
Er  0.0000  0.0000  0.8015  12 Dy 3.50-3.54
Tl  0.0000  0.0000  0.0000  12 Dy 3.48-3.50

***

Record 3
Compound: Ac4Pr3Sm
Source: Alexandria via LeMat-Bulk
Functional: PBE
Structure: relaxed

Results
Energy relative to the elements in eV/atom: 0.030

Cell: 7.6381 7.6386 10.9884 Å, 90.00 90.00 90.00°
Last column: nearest neighbours and their distance in Å.
Positions (direct):
Pr  0.9996  0.3100  0.0000  8 Ac 3.81-3.86, 4 Pr 3.86
Pr  0.2514  0.0607  0.7498  8 Ac 3.80-3.86, 2 Sm 3.85, 2 Pr 3.86
Pr  0.7486  0.5607  0.7502  8 Ac 3.80-3.86, 2 Sm 3.85, 2 Pr 3.86
Pr  0.0004  0.8100  0.5000  8 Ac 3.81-3.86, 4 Pr 3.86
Pr  0.7486  0.5607  0.2498  8 Ac 3.80-3.86, 2 Sm 3.85, 2 Pr 3.86
Pr  0.2514  0.0607  0.2502  8 Ac 3.80-3.86, 2 Sm 3.85, 2 Pr 3.86
Ac  0.9992  0.8117  0.0000  6 Pr 3.81-3.86, 2 Sm 3.81-3.83, 4 Ac 3.85-3.86
Ac  0.5010  0.3095  0.0000  2 Sm 3.81-3.83, 6 Pr 3.81-3.85, 4 Ac 3.85
Ac  0.7491  0.0606  0.7485  6 Pr 3.80-3.86, 2 Sm 3.84-3.86, 4 Ac 3.85-3.86
Ac  0.2509  0.5606  0.7515  6 Pr 3.80-3.86, 2 Sm 3.84-3.86, 4 Ac 3.85-3.86
Ac  0.4990  0.8095  0.5000  2 Sm 3.81-3.83, 6 Pr 3.81-3.85, 4 Ac 3.85
Ac  0.0008  0.3117  0.5000  6 Pr 3.81-3.86, 2 Sm 3.81-3.83, 4 Ac 3.85-3.86
Ac  0.2509  0.5606  0.2485  6 Pr 3.80-3.86, 2 Sm 3.84-3.86, 4 Ac 3.85-3.86
Ac  0.7491  0.0606  0.2515  6 Pr 3.80-3.86, 2 Sm 3.84-3.86, 4 Ac 3.85-3.86
Sm  0.5004  0.8110  0.0000  8 Ac 3.81-3.86, 4 Pr 3.85
Sm  0.4996  0.3110  0.5000  8 Ac 3.81-3.86, 4 Pr 3.85

***

Record 4
Compound: POsIN2
Source: Alexandria via LeMat-Bulk
Functional: PBE
Structure: relaxed

Results
Energy relative to the elements, uncorrected in meV/atom: 1814

Cell: 3.5362 3.5362 8.8402 Å, 90.00 90.00 90.00°
Last column: nearest neighbours and their distance in Å.
Positions (direct):
I  0.0000  0.0000  0.5000  4 Os 2.50
P  0.0000  0.0000  0.0000  4 N 1.77
Os  0.5000  0.5000  0.5000  4 I 2.50
N  0.0000  0.5000  0.0000  2 P 1.77
N  0.5000  0.0000  0.0000  2 P 1.77

***

Record 5
Compound: TaSi2O
Source: Alexandria via LeMat-Bulk
Functional: PBE
Structure: relaxed

Results
Energy relative to the elements, uncorrected in meV/atom: -279

Cell: 5.7510 5.7510 5.2980 Å, 57.13 57.13 90.00°
Last column: nearest neighbours and their distance in Å.
Positions (direct):
Si  0.5316  0.1250  0.2500  2 O 1.90
Si  0.2184  0.6250  0.2500  2 O 1.90
Si  0.3750  0.4684  0.7500  2 O 1.90
Si  0.8750  0.7816  0.7500  2 O 1.90
O  0.5000  0.5000  0.0000  4 Si 1.90
O  0.2500  0.7500  0.5000  4 Si 1.90
Ta  0.0000  0.0000  0.0000  4 Si 2.59
Ta  0.7500  0.2500  0.5000  4 Si 2.59

***

Record 6
Compound: Cr2SiAsSe
Source: Alexandria via LeMat-Bulk
Functional: PBE
Structure: relaxed

Results
Energy relative to the elements, uncorrected in meV/atom: 766

Cell: 4.7832 4.6810 4.7832 Å, 90.00 90.00 90.00°
Last column: nearest neighbours and their distance in Å.
Positions (direct):
Cr  0.0000  0.0000  0.5000  2 Si 2.39
Cr  0.5000  0.0000  0.0000  2 Si 2.39
As  0.0000  0.5000  0.0000  2 Si 2.34
Si  0.0000  0.0000  0.0000  2 As 2.34, 4 Cr 2.39
Se  0.5000  0.5000  0.5000  8 Cr 3.35, 4 As 3.38

***

Record 7
Compound: Th4Pb2Au
Source: Alexandria via LeMat-Bulk
Functional: PBE
Structure: relaxed

Results
Energy relative to the elements in eV/atom: -0.206

Cell: 7.1860 6.5512 9.8235 Å, 90.00 108.90 90.00°
Last column: nearest neighbours and their distance in Å.
Positions (direct):
Th  0.5239  0.4955  0.2372  1 Au 2.96, 1 Th 3.22, 1 Pb 3.25
Th  0.0586  0.7500  0.8417  1 Au 3.02, 1 Pb 3.26
Th  0.9414  0.2500  0.1583  1 Au 3.02, 1 Pb 3.26
Th  0.5239  0.0045  0.2372  1 Au 2.96, 1 Th 3.22, 1 Pb 3.25
Th  0.9136  0.2500  0.5556  1 Au 2.97
Th  0.4761  0.9955  0.7628  1 Au 2.96, 1 Th 3.22, 1 Pb 3.25
Th  0.4761  0.5045  0.7628  1 Au 2.96, 1 Th 3.22, 1 Pb 3.25
Th  0.0864  0.7500  0.4444  1 Au 2.97
Pb  0.7510  0.7500  0.0542  1 Au 2.81
Pb  0.2490  0.2500  0.9458  1 Au 2.81
Pb  0.3163  0.2500  0.4544  6 Th 3.26-3.38
Pb  0.6837  0.7500  0.5456  6 Th 3.26-3.38
Au  0.1639  0.7500  0.1655  1 Pb 2.81, 4 Th 2.96-3.02
Au  0.8361  0.2500  0.8345  1 Pb 2.81, 4 Th 2.96-3.02

***

Record 8
Compound: Tb2PrYEr2
Source: Alexandria via LeMat-Bulk
Functional: PBE
Structure: relaxed

Results
Energy relative to the elements in eV/atom: 0.277

Cell: 3.4040 6.5992 17.6907 Å, 90.00 90.00 90.00°
Last column: nearest neighbours and their distance in Å.
Positions (direct):
Tb  0.5000  0.2243  0.3492  1 Pr 3.23, 4 Er 3.33-3.40, 2 Tb 3.40, 2 Y 3.49
Tb  0.0000  0.7243  0.1508  1 Pr 3.23, 4 Er 3.33-3.40, 2 Tb 3.40, 2 Y 3.49
Tb  0.5000  0.7757  0.6508  1 Pr 3.23, 4 Er 3.33-3.40, 2 Tb 3.40, 2 Y 3.49
Tb  0.0000  0.2757  0.8492  1 Pr 3.23, 4 Er 3.33-3.40, 2 Tb 3.40, 2 Y 3.49
Pr  0.0000  0.0000  0.0000  2 Tb 3.23, 2 Pr 3.40, 2 Er 3.56
Pr  0.5000  0.5000  0.5000  2 Tb 3.23, 2 Pr 3.40, 2 Er 3.56
Y  0.5000  0.5000  0.0000  2 Y 3.40, 4 Tb 3.49, 4 Pr 3.71
Y  0.0000  0.0000  0.5000  2 Y 3.40, 4 Tb 3.49, 4 Pr 3.71
Er  0.5000  0.7275  0.3174  4 Tb 3.33-3.40, 2 Er 3.40, 1 Pr 3.56
Er  0.5000  0.2725  0.6826  4 Tb 3.33-3.40, 2 Er 3.40, 1 Pr 3.56
Er  0.0000  0.7725  0.8174  4 Tb 3.33-3.40, 2 Er 3.40, 1 Pr 3.56
Er  0.0000  0.2275  0.1826  4 Tb 3.33-3.40, 2 Er 3.40, 1 Pr 3.56

***

Record 9
Compound: La2ScInFe
Source: Alexandria via LeMat-Bulk
Functional: PBE
Structure: relaxed

Results
Energy relative to the elements in eV/atom: -0.141

Cell: 5.1297 5.1297 5.1347 Å, 90.00 90.00 90.00°
Last column: nearest neighbours and their distance in Å.
Positions (direct):
Sc  0.0000  0.0000  0.5000  2 Fe 2.57
In  0.5000  0.5000  0.5000  4 Sc 3.63, 8 La 3.63
Fe  0.0000  0.0000  0.0000  4 La 2.56, 2 Sc 2.57
La  0.0000  0.5000  0.0000  2 Fe 2.56
La  0.5000  0.0000  0.0000  2 Fe 2.56

***

Record 10
Compound: Pm3Cd
Source: Alexandria via LeMat-Bulk
Functional: PBE
Structure: relaxed

Results
Energy relative to the elements in eV/atom: -0.022

Cell: 5.5693 5.5693 5.5693 Å, 60.00 60.00 60.00°
Last column: nearest neighbours and their distance in Å.
Positions (direct):
Cd  0.5000  0.5000  0.5000  8 Pm 3.41
Pm  0.0000  0.0000  0.0000  8 Pm 3.41
Pm  0.7500  0.7500  0.7500  4 Cd 3.41, 4 Pm 3.41
Pm  0.2500  0.2500  0.2500  4 Pm 3.41, 4 Cd 3.41

***

Record 11
Compound: La3BiN
Source: Alexandria via LeMat-Bulk
Functional: PBE
Structure: relaxed

Results
Energy relative to the elements, uncorrected in meV/atom: -938

Cell: 8.8394 7.0095 6.3344 Å, 119.94 78.61 113.34°
Last column: nearest neighbours and their distance in Å.
Positions (direct):
La  0.4695  0.3877  0.3975  2 N 2.34-2.35
La  0.2521  0.9925  0.7524  2 N 2.38
La  0.9624  0.8482  0.2528  4 Bi 3.38-3.60, 2 La 3.51
La  0.9772  0.3554  0.2526  4 Bi 3.38-3.60, 2 La 3.51
La  0.6875  0.2111  0.7531  2 N 2.38
La  0.4701  0.8160  0.1080  2 N 2.34-2.35
Bi  0.8162  0.7750  0.7524  9 La 3.38-3.66
Bi  0.1235  0.4286  0.7530  9 La 3.38-3.66
N  0.4699  0.1130  0.5076  4 La 2.34-2.38
N  0.4698  0.0906  0.9979  4 La 2.34-2.38

***

Record 12
Compound: ZrZn2C
Source: Alexandria via LeMat-Bulk
Functional: PBE
Structure: relaxed

Results
Energy relative to the elements in eV/atom: 0.275

Cell: 7.1487 7.1487 5.5622 Å, 50.01 50.01 90.00°
Last column: nearest neighbours and their distance in Å.
Positions (direct):
Zn  0.5453  0.1250  0.2500  2 C 2.24
Zn  0.2047  0.6250  0.2500  2 C 2.24
Zn  0.3750  0.4547  0.7500  2 C 2.24
Zn  0.8750  0.7953  0.7500  2 C 2.24
C  0.5000  0.5000  0.0000  4 Zn 2.24, 2 Zr 2.32
C  0.2500  0.7500  0.5000  4 Zn 2.24, 2 Zr 2.32
Zr  0.0000  0.0000  0.0000  2 C 2.32
Zr  0.7500  0.2500  0.5000  2 C 2.32